Entry 1:
A relaxed structure of Pm2NdSm3As6, computed with GGA-PBE.

Structure (POSCAR):
```
Pm2NdSm3As6
1.0
9.222 -2.117 0.000
9.222 2.117 0.000
-1.942 0.000 8.237
Pm Nd Sm As
2 1 3 6
Direct
0.167 0.167 0.334
0.833 0.833 0.666
0.500 0.500 0.000
0.167 0.167 0.833
0.500 0.500 0.500
0.833 0.833 0.167
0.000 0.000 0.252
0.000 0.000 0.748
0.333 0.333 0.917
0.334 0.334 0.416
0.666 0.666 0.584
0.667 0.667 0.083
```

* M_tot: 0.0 μB/f.u.
* density: 6.9 g/cm³
* space-group type: No. 12
* electronic total energy: -74.62 eV for the cell shown
* ΔH_f (0 K): -1524.7 meV per atom

***

Entry 2:
A relaxed structure of Pm3NdSm2As6, computed with GGA-PBE.

Structure (POSCAR):
```
Pm3NdSm2As6
1.0
9.232 -2.119 0.000
9.232 2.119 0.000
-1.944 0.000 8.246
Pm Nd Sm As
3 1 2 6
Direct
0.000 0.000 0.000
0.333 0.333 0.667
0.667 0.667 0.333
0.000 0.000 0.500
0.333 0.333 0.166
0.667 0.667 0.834
0.167 0.167 0.082
0.167 0.167 0.585
0.500 0.500 0.248
0.500 0.500 0.752
0.833 0.833 0.415
0.833 0.833 0.918
```

* M_tot: 0.0 μB/f.u.
* density: 6.8 g/cm³
* space-group type: No. 12
* electronic total energy: -74.65 eV for the cell shown
* ΔH_f (0 K): -1524.4 meV per atom

***

Entry 3:
A relaxed structure of PmNd2SmAs4, computed with GGA-PBE.

Structure (POSCAR):
```
PmNd2SmAs4
1.0
7.359 0.000 0.000
0.000 4.252 0.000
-2.451 0.000 6.939
Pm Nd Sm As
1 2 1 4
Direct
0.000 0.000 0.000
0.500 0.000 0.500
0.500 0.500 0.000
0.000 0.500 0.500
0.247 0.000 0.748
0.248 0.500 0.250
0.752 0.500 0.750
0.753 0.000 0.252
```

* M_tot: 0.0 μB/f.u.
* density: 6.8 g/cm³
* space-group type: No. 10
* electronic total energy: -49.76 eV for the cell shown
* ΔH_f (0 K): -1520.1 meV per atom

***

Entry 4:
A relaxed structure of Pm2NdSmAs4, computed with GGA-PBE.

Structure (POSCAR):
```
Pm2NdSmAs4
1.0
7.344 0.000 0.000
0.000 4.244 0.000
-2.447 0.000 6.925
Pm Nd Sm As
2 1 1 4
Direct
0.000 0.000 0.000
0.000 0.500 0.500
0.500 0.000 0.500
0.500 0.500 0.000
0.249 0.500 0.248
0.250 0.000 0.752
0.750 0.000 0.248
0.751 0.500 0.752
```

* M_tot: 0.0 μB/f.u.
* density: 6.8 g/cm³
* space-group type: No. 10
* electronic total energy: -49.78 eV for the cell shown
* ΔH_f (0 K): -1523.6 meV per atom

***

Entry 5:
A relaxed structure of Pm3Nd2SmAs6, computed with GGA-PBE.

Structure (POSCAR):
```
Pm3Nd2SmAs6
1.0
9.252 -2.124 0.000
9.252 2.124 0.000
-1.950 0.000 8.263
Pm Nd Sm As
3 2 1 6
Direct
0.000 0.000 0.000
0.333 0.333 0.666
0.667 0.667 0.334
0.334 0.334 0.167
0.666 0.666 0.833
0.000 0.000 0.500
0.166 0.166 0.084
0.166 0.166 0.582
0.499 0.499 0.749
0.501 0.501 0.251
0.834 0.834 0.418
0.834 0.834 0.916
```

* M_tot: 0.0 μB/f.u.
* density: 6.8 g/cm³
* space-group type: No. 12
* electronic total energy: -74.66 eV for the cell shown
* ΔH_f (0 K): -1521.7 meV per atom

***

Entry 6:
A relaxed structure of PmNdSm2As4, computed with GGA-PBE.

Structure (POSCAR):
```
PmNdSm2As4
1.0
7.334 0.000 0.000
0.000 4.238 0.000
-2.443 0.000 6.916
Pm Nd Sm As
1 1 2 4
Direct
0.000 0.000 0.000
0.000 0.500 0.500
0.500 0.000 0.500
0.500 0.500 0.000
0.252 0.500 0.250
0.253 0.000 0.752
0.747 0.000 0.248
0.748 0.500 0.750
```

* M_tot: 0.0 μB/f.u.
* density: 6.9 g/cm³
* space-group type: No. 10
* electronic total energy: -49.75 eV for the cell shown
* ΔH_f (0 K): -1524.0 meV per atom

***

Entry 7:
A relaxed structure of PmNd3Sm2As6, computed with GGA-PBE.

Structure (POSCAR):
```
PmNd3Sm2As6
1.0
9.255 -2.125 0.000
9.255 2.125 0.000
-1.949 0.000 8.266
Pm Nd Sm As
1 3 2 6
Direct
0.000 0.000 0.000
0.000 0.000 0.500
0.333 0.333 0.167
0.667 0.667 0.833
0.333 0.333 0.667
0.667 0.667 0.333
0.166 0.166 0.085
0.167 0.167 0.581
0.499 0.499 0.751
0.501 0.501 0.249
0.833 0.833 0.419
0.834 0.834 0.915
```

* M_tot: 0.0 μB/f.u.
* density: 6.8 g/cm³
* space-group type: No. 12
* electronic total energy: -74.62 eV for the cell shown
* ΔH_f (0 K): -1519.5 meV per atom

***

Entry 8:
A relaxed structure of SrPm2NdAs4, computed with GGA-PBE.

Structure (POSCAR):
```
SrPm2NdAs4
1.0
7.459 0.000 0.000
0.000 4.289 0.000
-2.477 0.000 7.046
Sr Pm Nd As
1 2 1 4
Direct
0.000 0.000 0.000
0.000 0.500 0.500
0.500 0.000 0.500
0.500 0.500 0.000
0.253 0.000 0.744
0.261 0.500 0.262
0.739 0.500 0.738
0.747 0.000 0.256
```

* M_tot: 0.0 μB/f.u.
* density: 6.1 g/cm³
* space-group type: No. 10
* electronic total energy: -45.32 eV for the cell shown
* ΔH_f (0 K): -1345.8 meV per atom